[1]
VASP calculation (meta-GGA SCAN) on a PBEsol-optimized structure of Cr2ReNi.

abc: 3.634 3.634 3.581
angles: 90.00 90.00 90.00
Space group P4/mmm (No. 123)
Symmetry-distinct sites (fractional):
Cr 0.000 0.500 0.000 (multiplicity 2)
Re 0.000 0.000 0.500 (multiplicity 1)
Ni 0.500 0.500 0.500 (multiplicity 1)

Values from the calculation:
ΔH_f (0 K) = 19.9 kJ/mol of formula units



[2]
VASP calculation (meta-GGA SCAN) on a PBEsol-optimized structure of Y2AlPt.

abc: 3.540 3.540 6.868
angles: 90.00 90.00 90.00
Space group P4/mmm (No. 123)
Symmetry-distinct sites (fractional):
Y 0.000 0.000 0.236 (multiplicity 2)
Al 0.500 0.500 0.500 (multiplicity 1)
Pt 0.500 0.500 0.000 (multiplicity 1)

Values from the calculation:
ΔH_f (0 K) = -364.6 kJ/mol of formula units



[3]
VASP calculation (meta-GGA SCAN) on a PBEsol-optimized structure of ZnHgBr2.

abc: 3.924 3.508 8.604
angles: 90.00 99.39 90.00
Space group P2/m (No. 10)
Symmetry-distinct sites (fractional):
Zn 0.000 0.000 0.000 (multiplicity 1)
Hg 0.500 0.000 0.500 (multiplicity 1)
Br 0.141 0.500 0.818 (multiplicity 2)

Values from the calculation:
Offset from the most stable computed form = 120 meV/atom



[4]
VASP calculation (meta-GGA SCAN) on a PBEsol-optimized structure of SiMo2Rh.

abc: 3.614 3.614 4.299
angles: 90.00 90.00 90.00
Space group P4/mmm (No. 123)
Symmetry-distinct sites (fractional):
Si 0.000 0.000 0.000 (multiplicity 1)
Mo 0.000 0.500 0.500 (multiplicity 2)
Rh 0.500 0.500 0.000 (multiplicity 1)

Values from the calculation:
Calculated total energy = -114.4 eV/f.u.



[5]
VASP calculation (meta-GGA SCAN) on a PBEsol-optimized structure of BeIr2Os.

abc: 2.701 3.879 5.089
angles: 90.00 105.31 90.00
Space group Pm (No. 6)
Symmetry-distinct sites (fractional):
Be 0.000 0.000 0.000 (multiplicity 1)
Ir 0.133 0.500 0.254 (multiplicity 1)
Ir 0.772 0.000 0.531 (multiplicity 1)
Os 0.402 0.500 0.792 (multiplicity 1)

Values from the calculation:
ΔH_f (0 K) = -45.6 kJ/mol of formula units



[6]
VASP calculation (meta-GGA SCAN) on a PBEsol-optimized structure of La2AsIr.

abc: 3.420 3.420 8.484
angles: 90.00 90.00 90.00
Space group P4mm (No. 99)
Symmetry-distinct sites (fractional):
La 0.000 0.000 0.000 (multiplicity 1)
La 0.500 0.500 0.404 (multiplicity 1)
As 0.500 0.500 0.757 (multiplicity 1)
Ir 0.000 0.000 0.630 (multiplicity 1)

Values from the calculation:
ΔH_f (0 K) = -146.0 kJ/mol of formula units



[7]
VASP calculation (meta-GGA SCAN) on a PBEsol-optimized structure of BaTaP2O.

abc: 5.329 5.329 4.156
angles: 90.00 90.00 90.00
Space group P4/mmm (No. 123)
Symmetry-distinct sites (fractional):
Ba 0.000 0.000 0.000 (multiplicity 1)
Ta 0.500 0.500 0.500 (multiplicity 1)
P 0.000 0.500 0.000 (multiplicity 2)
O 0.000 0.000 0.500 (multiplicity 1)

Values from the calculation:
Calculated total energy = -126.0 eV/f.u.



[8]
VASP calculation (meta-GGA SCAN) on a PBEsol-optimized structure of Ba2MnSbTe.

abc: 6.051 6.051 4.758
angles: 90.00 90.00 90.00
Space group P4/mmm (No. 123)
Symmetry-distinct sites (fractional):
Ba 0.000 0.500 0.000 (multiplicity 2)
Mn 0.000 0.000 0.000 (multiplicity 1)
Sb 0.000 0.000 0.500 (multiplicity 1)
Te 0.500 0.500 0.500 (multiplicity 1)

Values from the calculation:
Calculated total energy = -175.1 eV/f.u.



[9]
VASP calculation (meta-GGA SCAN) on a PBEsol-optimized structure of Be2Co2Ru.

abc: 6.101 6.101 2.559
angles: 90.00 90.00 90.00
Space group P4/mbm (No. 127)
Symmetry-distinct sites (fractional):
Be 0.125 0.375 0.000 (multiplicity 4)
Co 0.169 0.669 0.500 (multiplicity 4)
Ru 0.000 0.000 0.000 (multiplicity 2)

Values from the calculation:
ΔH_f (0 K) = -63.8 kJ/mol of formula units
Offset from the most stable computed form = 0 meV/atom



[10]
VASP calculation (meta-GGA SCAN) on a PBEsol-optimized structure of Y2SbCl.

abc: 7.247 7.247 7.247
angles: 90.00 90.00 90.00
Space group Fm-3m (No. 225)
Symmetry-distinct sites (fractional):
Y 0.250 0.250 0.250 (multiplicity 8)
Sb 0.000 0.000 0.000 (multiplicity 4)
Cl 0.000 0.000 0.500 (multiplicity 4)

Values from the calculation:
Offset from the most stable computed form = 38 meV/atom



[11]
VASP calculation (meta-GGA SCAN) on a PBEsol-optimized structure of ZrCu2Te.

abc: 3.773 3.899 9.340
angles: 90.00 90.00 90.00
Space group Imm2 (No. 44)
Symmetry-distinct sites (fractional):
Zr 0.000 0.000 0.000 (multiplicity 2)
Cu 0.000 0.000 0.447 (multiplicity 2)
Cu 0.000 0.500 0.764 (multiplicity 2)
Te 0.000 0.500 0.239 (multiplicity 2)

Values from the calculation:
Calculated total energy = -98.9 eV/f.u.



[12]
VASP calculation (meta-GGA SCAN) on a PBEsol-optimized structure of YMn2Re.

abc: 2.998 4.500 9.078
angles: 90.00 90.00 90.00
Space group Imm2 (No. 44)
Symmetry-distinct sites (fractional):
Y 0.000 0.000 0.000 (multiplicity 2)
Mn 0.000 0.000 0.508 (multiplicity 2)
Mn 0.000 0.500 0.777 (multiplicity 2)
Re 0.000 0.500 0.223 (multiplicity 2)

Values from the calculation:
ΔH_f (0 K) = 103.5 kJ/mol of formula units
Offset from the most stable computed form = 0 meV/atom



[13]
VASP calculation (meta-GGA SCAN) on a PBEsol-optimized structure of NbI2O2.

abc: 4.045 4.045 7.170
angles: 90.00 90.00 90.00
Space group P4/mmm (No. 123)
Symmetry-distinct sites (fractional):
Nb 0.000 0.000 0.000 (multiplicity 1)
I 0.500 0.500 0.000 (multiplicity 1)
I 0.500 0.500 0.500 (multiplicity 1)
O 0.000 0.500 0.500 (multiplicity 2)

Values from the calculation:
Calculated total energy = -116.6 eV/f.u.



[14]
VASP calculation (meta-GGA SCAN) on a PBEsol-optimized structure of K2TaOsAu.

abc: 6.147 6.147 4.625
angles: 90.00 90.00 90.00
Space group P4/mmm (No. 123)
Symmetry-distinct sites (fractional):
K 0.000 0.500 0.000 (multiplicity 2)
Ta 0.000 0.000 0.500 (multiplicity 1)
Os 0.000 0.000 0.000 (multiplicity 1)
Au 0.500 0.500 0.500 (multiplicity 1)

Values from the calculation:
ΔH_f (0 K) = 622.2 kJ/mol of formula units